## Te3PtCl (PBE-GGA)

Data for crystalline Te3PtCl at its relaxed geometry.

POSCAR file:
```
Te3PtCl
1.0
4.906 -8.714 0.000
4.906 8.714 0.000
-0.126 0.000 7.145
Te Pt Cl
12 4 4
direct
0.097 0.660 0.538 Te
0.190 0.537 0.070 Te
0.304 0.415 0.578 Te
0.340 0.903 0.962 Te
0.415 0.304 0.078 Te
0.463 0.810 0.430 Te
0.537 0.190 0.570 Te
0.585 0.696 0.922 Te
0.660 0.097 0.038 Te
0.696 0.585 0.422 Te
0.810 0.463 0.930 Te
0.903 0.340 0.462 Te
0.333 0.667 0.750 Pt
0.441 0.559 0.250 Pt
0.559 0.441 0.750 Pt
0.667 0.333 0.250 Pt
0.057 0.251 0.980 Cl
0.251 0.057 0.480 Cl
0.749 0.943 0.520 Cl
0.943 0.749 0.020 Cl
```

Output
For the formation energy without anion corrections, the calculation gives -356 meV/atom. The magnetic moment is 0.00 Bohr magnetons per cell. The value obtained for the distance to the lowest polymorph of the same formula is 0 meV per atom.

=====

## TePtCl2 (PBE-GGA)

Data for crystalline TePtCl2 at its relaxed geometry.

POSCAR file:
```
TePtCl2
1.0
2.971 -4.442 0.000
2.971 4.442 0.000
0.000 0.000 3.126
Te Pt Cl
1 1 2
direct
0.000 0.000 0.000 Te
0.500 0.500 0.000 Pt
0.000 0.500 0.500 Cl
0.500 0.000 0.500 Cl
```

Output
For the formation energy without anion corrections, the calculation gives 611 meV/atom. The calculation puts the density of states at the Fermi level at 1.162 states/eV per atom. The magnetic moment is 0.00 Bohr magnetons per cell.

=====

## Te2PtCl (PBE-GGA)

Data for crystalline Te2PtCl at its relaxed geometry.

POSCAR file:
```
Te2PtCl
1.0
1.905 1.100 8.905
-1.905 1.100 8.905
0.000 -2.200 8.905
Te Pt Cl
2 1 1
direct
0.000 0.000 0.000 Te
0.250 0.250 0.250 Te
0.723 0.723 0.723 Pt
0.443 0.443 0.443 Cl
```

Output
For the formation energy without anion corrections, the calculation gives -139 meV/atom. The calculation puts the density of states at the Fermi level at 0.290 states/eV per atom. The magnetic moment is 0.00 Bohr magnetons per cell.

=====

## TePtCl2 (PBE-GGA)

Data for crystalline TePtCl2 at its relaxed geometry.

POSCAR file:
```
TePtCl2
1.0
7.733 0.000 0.000
0.000 3.739 0.000
-3.376 0.000 8.239
Te Pt Cl
2 2 4
direct
0.226 0.250 0.025 Te
0.774 0.750 0.975 Te
0.158 0.750 0.193 Pt
0.842 0.250 0.807 Pt
0.116 0.250 0.356 Cl
0.436 0.750 0.794 Cl
0.564 0.250 0.206 Cl
0.884 0.750 0.644 Cl
```

Output
For the formation energy without anion corrections, the calculation gives -492 meV/atom. The calculation puts the density of states at the Fermi level at 0.000 states/eV per atom. The magnetic moment is 0.00 Bohr magnetons per cell.

=====

no.,theoretical density (g cm⁻³)
1,6.67
2,7.92
3,7.20
4,5.49